! Ca4NdHg5 PBE relaxed; values from VASP
&SYSTEM
  ibrav = 0, nat = 10, ntyp = 3
/
ATOMIC_SPECIES
Ca 40.08 Ca.upf
Nd 144.24 Nd.upf
Hg 200.59 Hg.upf
CELL_PARAMETERS angstrom
3.803 0.000 0.000
0.000 3.803 0.000
0.000 0.000 18.996
ATOMIC_POSITIONS crystal
Ca 0.000 0.000 0.100
Ca 0.000 0.000 0.298
Ca 0.000 0.000 0.702
Ca 0.000 0.000 0.900
Nd 0.000 0.000 0.500
Hg 0.500 0.500 0.000
Hg 0.500 0.500 0.199
Hg 0.500 0.500 0.399
Hg 0.500 0.500 0.601
Hg 0.500 0.500 0.801
! - density (g/cm³) = 7.90
! - energy of formation from the pure elements (meV/atom) = -538
! - DFT total energy (eV/atom) = -1.97
! - magnetic moment (Bohr magnetons per cell) = 0.16
! - density of states at the Fermi level (states/eV/f.u.) = 8.306

! Ce4Bi5H PBE relaxed; values from VASP
&SYSTEM
  ibrav = 0, nat = 10, ntyp = 3
/
ATOMIC_SPECIES
Ce 140.12 Ce.upf
Bi 208.98 Bi.upf
H 1.01 H.upf
CELL_PARAMETERS angstrom
9.041 -2.372 0.000
9.041 2.372 0.000
-3.684 0.000 7.345
ATOMIC_POSITIONS crystal
Ce 0.018 0.018 0.221
Ce 0.338 0.338 0.066
Ce 0.662 0.662 0.934
Ce 0.982 0.982 0.779
Bi 0.152 0.152 0.645
Bi 0.186 0.186 0.208
Bi 0.500 0.500 0.500
Bi 0.814 0.814 0.792
Bi 0.848 0.848 0.355
H 0.500 0.500 0.000
! - density (g/cm³) = 8.47
! - DFT total energy (eV/atom) = -4.96
! - magnetic moment (Bohr magnetons per cell) = 4.31
! - density of states at the Fermi level (states/eV/f.u.) = 25.110

! Nd2SN PBE relaxed; values from VASP
&SYSTEM
  ibrav = 0, nat = 4, ntyp = 3
/
ATOMIC_SPECIES
Nd 144.24 Nd.upf
S 32.06 S.upf
N 14.01 N.upf
CELL_PARAMETERS angstrom
1.893 1.093 6.565
-1.893 1.093 6.565
0.000 -2.186 6.565
ATOMIC_POSITIONS crystal
Nd 0.237 0.237 0.237
Nd 0.763 0.763 0.763
S 0.000 0.000 0.000
N 0.500 0.500 0.500
! - polymorph energy (0 for the lowest one) (kcal/mol of atoms) = 0.000
! - formation energy (no corrections) (meV/atom) = -1722
! - density (g/cm³) = 6.82
! - DFT total energy (eV/atom) = -7.22
! - magnetic moment (Bohr magnetons per cell) = 0.00
! - density of states at the Fermi level (states/eV/f.u.) = 1.128

! SbMo2Br PBE relaxed; values from VASP
&SYSTEM
  ibrav = 0, nat = 4, ntyp = 3
/
ATOMIC_SPECIES
Sb 121.76 Sb.upf
Mo 95.94 Mo.upf
Br 79.90 Br.upf
CELL_PARAMETERS angstrom
1.609 0.929 10.088
-1.609 0.929 10.088
0.000 -1.857 10.088
ATOMIC_POSITIONS crystal
Sb 0.000 0.000 0.000
Mo 0.469 0.469 0.469
Mo 0.743 0.743 0.743
Br 0.202 0.202 0.202
! - polymorph energy (0 for the lowest one) (kcal/mol of atoms) = 0.177
! - formation energy (no corrections) (meV/atom) = 205
! - density (g/cm³) = 7.23
! - DFT total energy (eV/atom) = -6.66
! - magnetic moment (Bohr magnetons per cell) = 0.00
! - density of states at the Fermi level (states/eV/f.u.) = 3.078

Number 2 is which compound?
Ce4Bi5H

Repeat the second record exactly.
! Ce4Bi5H PBE relaxed; values from VASP
&SYSTEM
  ibrav = 0, nat = 10, ntyp = 3
/
ATOMIC_SPECIES
Ce 140.12 Ce.upf
Bi 208.98 Bi.upf
H 1.01 H.upf
CELL_PARAMETERS angstrom
9.041 -2.372 0.000
9.041 2.372 0.000
-3.684 0.000 7.345
ATOMIC_POSITIONS crystal
Ce 0.018 0.018 0.221
Ce 0.338 0.338 0.066
Ce 0.662 0.662 0.934
Ce 0.982 0.982 0.779
Bi 0.152 0.152 0.645
Bi 0.186 0.186 0.208
Bi 0.500 0.500 0.500
Bi 0.814 0.814 0.792
Bi 0.848 0.848 0.355
H 0.500 0.500 0.000
! - density (g/cm³) = 8.47
! - DFT total energy (eV/atom) = -4.96
! - magnetic moment (Bohr magnetons per cell) = 4.31
! - density of states at the Fermi level (states/eV/f.u.) = 25.110